Record 1
Material: Sr2AlAg
Method: DFT, PBE
State: optimized geometry

Computed properties:
- calculated total energy (eV/atom) = -2.63
- density of states at the Fermi level (states/eV/f.u.) = 3.40
- theoretical density (g/cm3) = 4.2

Geometry as extended XYZ:
```
4
Lattice="-3.682 4.720 2.778 -4.672 -1.786 4.305 6.442 -0.116 -1.430" Properties=species:S:1:pos:R:3 pbc="T T T"
Sr -0.195 0.068 0.165
Sr -0.497 2.961 2.266
Al -1.584 -0.085 3.531
Ag -3.813 1.339 3.233
```

Record 2
Material: Sr2AlAg2
Method: DFT, PBE
State: optimized geometry

Computed properties:
- calculated total energy (eV/atom) = -2.66
- density of states at the Fermi level (states/eV/f.u.) = 4.46
- theoretical density (g/cm3) = 4.5

Geometry as extended XYZ:
```
5
Lattice="6.229 0.000 0.000 0.000 6.229 0.000 3.114 3.114 3.954" Properties=species:S:1:pos:R:3 pbc="T T T"
Sr 6.229 3.114 1.977
Sr 3.114 6.229 1.977
Al 0.000 0.000 0.000
Ag 3.114 3.114 1.338
Ag 6.229 6.229 2.616
```

Record 3
Material: Sr2Al5Ag3
Method: DFT, PBE
State: optimized geometry

Computed properties:
- calculated total energy (eV/atom) = -3.33
- density of states at the Fermi level (states/eV/f.u.) = 4.24
- distance to the lowest polymorph of the same formula (eV/atom) = 0.000
- theoretical density (g/cm3) = 4.7

Geometry as extended XYZ:
```
20
Lattice="5.915 0.000 2.238 2.561 8.351 2.167 -0.023 -0.181 8.998" Properties=species:S:1:pos:R:3 pbc="T T T"
Sr 2.354 5.210 2.715
Sr 4.000 0.883 7.298
Sr 6.099 2.960 10.687
Sr 4.453 7.287 6.104
Al 2.852 2.125 1.397
Al 5.156 -0.034 4.244
Al 5.601 6.045 12.005
Al 3.297 8.204 9.158
Al 4.895 6.046 9.403
Al 3.558 2.124 3.999
Al 5.705 4.085 7.260
Al 2.748 4.085 6.142
Al 6.516 2.124 5.118
Al 1.937 6.046 8.284
Ag 3.463 3.887 8.719
Ag 7.136 6.247 7.948
Ag 4.990 4.283 4.683
Ag 1.317 1.923 5.454
Ag 1.479 0.000 0.559
Ag 4.436 0.000 1.678
```

Record 4
Material: Sr2Al3Ag2
Method: DFT, PBE
State: optimized geometry

Computed properties:
- calculated total energy (eV/atom) = -3.13
- density of states at the Fermi level (states/eV/f.u.) = 3.30
- theoretical density (g/cm3) = 4.6

Geometry as extended XYZ:
```
7
Lattice="4.407 0.000 0.000 -2.204 5.825 -0.594 0.000 -3.400 7.011" Properties=species:S:1:pos:R:3 pbc="T T T"
Sr 2.204 3.457 1.231
Sr 0.000 -1.032 5.187
Al 2.204 0.000 0.000
Al 2.204 0.261 2.845
Al 0.000 2.165 3.572
Ag 2.204 1.583 5.141
Ag 0.000 0.843 1.276
```

Record 5
Material: SrAl2Ag2
Method: DFT, PBE
State: optimized geometry

Computed properties:
- calculated total energy (eV/atom) = -3.01
- density of states at the Fermi level (states/eV/f.u.) = 1.90
- theoretical density (g/cm3) = 5.7

Geometry as extended XYZ:
```
10
Lattice="-3.029 -6.017 4.943 -4.600 -2.896 -6.346 2.233 -1.785 -0.804" Properties=species:S:1:pos:R:3 pbc="T T T"
Sr 0.000 0.000 0.000
Sr -3.815 -4.457 -0.702
Al -2.367 -3.722 -3.792
Al -4.755 -7.281 -2.526
Al -3.030 -6.976 1.585
Al -0.642 -3.417 0.319
Ag -5.085 -4.702 -3.685
Ag -5.541 -7.044 0.247
Ag -2.544 -4.211 2.282
Ag -2.088 -1.869 -1.650
```

Record 6
Material: Sr2AlAg2
Method: DFT, PBE
State: optimized geometry

Computed properties:
- calculated total energy (eV/atom) = -2.85
- density of states at the Fermi level (states/eV/f.u.) = 3.25
- theoretical density (g/cm3) = 5.0

Geometry as extended XYZ:
```
5
Lattice="4.266 0.000 1.817 1.201 5.271 3.096 -0.131 0.235 6.224" Properties=species:S:1:pos:R:3 pbc="T T T"
Sr 3.897 4.305 5.640
Sr 1.439 1.200 5.496
Al 2.734 2.635 2.456
Ag 4.531 1.367 4.153
Ag 0.805 4.138 6.984
```

Record 7
Material: Sr3Al8Ag
Method: DFT, PBE
State: optimized geometry

Computed properties:
- calculated total energy (eV/atom) = -3.30
- density of states at the Fermi level (states/eV/f.u.) = 6.36
- theoretical density (g/cm3) = 3.6

Geometry as extended XYZ:
```
12
Lattice="5.804 0.000 0.000 2.902 5.027 0.000 2.902 1.676 9.309" Properties=species:S:1:pos:R:3 pbc="T T T"
Sr 5.804 3.351 8.075
Sr 8.707 5.027 0.122
Sr 5.804 3.351 4.534
Al 7.259 2.511 1.717
Al 7.234 5.877 6.321
Al 4.350 2.511 1.717
Al 10.179 5.877 6.321
Al 2.902 1.676 4.025
Al 8.707 5.027 8.628
Al 5.804 5.031 1.717
Al 8.707 3.326 6.321
Ag 8.707 5.027 4.028
```

Record 8
Material: SrAl4Ag6
Method: DFT, PBE
State: optimized geometry

Computed properties:
- calculated total energy (eV/atom) = -3.22
- density of states at the Fermi level (states/eV/f.u.) = 4.60
- theoretical density (g/cm3) = 6.5

Geometry as extended XYZ:
```
11
Lattice="4.428 0.000 0.000 0.000 6.488 -3.746 0.000 0.000 7.491" Properties=species:S:1:pos:R:3 pbc="T T T"
Sr 0.000 0.000 0.000
Al 2.214 5.158 1.443
Al 2.214 2.659 0.000
Al 2.214 5.158 -1.443
Al 0.000 2.163 3.746
Ag 0.000 3.471 -1.479
Ag 2.214 3.855 3.746
Ag 0.000 3.471 1.479
Ag 0.000 6.033 0.000
Ag 2.214 1.316 5.211
Ag 2.214 1.316 2.280
```

Record 9
Material: Sr2AlAg3
Method: DFT, PBE
State: optimized geometry

Computed properties:
- calculated total energy (eV/atom) = -2.89
- density of states at the Fermi level (states/eV/f.u.) = 3.05
- theoretical density (g/cm3) = 5.6

Geometry as extended XYZ:
```
6
Lattice="-1.413 2.380 -3.950 -5.991 1.736 0.244 0.563 6.066 0.509" Properties=species:S:1:pos:R:3 pbc="T T T"
Sr -1.545 5.929 -1.764
Sr -5.278 4.302 -1.410
Al -2.487 2.679 -0.441
Ag -4.394 7.281 -2.875
Ag -2.512 3.096 -3.126
Ag -4.303 7.261 0.025
```

Record 10
Material: Sr2Al5Ag3
Method: DFT, PBE
State: optimized geometry

Computed properties:
- calculated total energy (eV/atom) = -3.29
- density of states at the Fermi level (states/eV/f.u.) = 2.96
- distance to the lowest polymorph of the same formula (eV/atom) = 0.038
- theoretical density (g/cm3) = 4.6

Geometry as extended XYZ:
```
10
Lattice="-3.475 0.296 -2.660 -2.146 -2.914 2.478 -4.292 8.758 6.582" Properties=species:S:1:pos:R:3 pbc="T T T"
Sr -2.791 2.297 0.285
Sr -4.311 5.152 6.206
Al -2.810 -1.309 -0.091
Al 0.000 0.000 0.000
Al -5.455 7.735 4.372
Al -1.646 -0.287 2.119
Al -4.956 3.070 3.200
Ag -4.505 5.795 2.914
Ag -2.597 1.653 3.577
Ag -2.146 4.379 3.291
```

Record 11
Material: SrAl3Ag3
Method: DFT, PBE
State: optimized geometry

Computed properties:
- calculated total energy (eV/atom) = -3.08
- density of states at the Fermi level (states/eV/f.u.) = 3.24
- distance to the lowest polymorph of the same formula (eV/atom) = 0.142
- theoretical density (g/cm3) = 5.2

Geometry as extended XYZ:
```
14
Lattice="6.901 0.000 0.000 3.451 5.977 0.000 3.451 1.992 7.645" Properties=species:S:1:pos:R:3 pbc="T T T"
Sr 6.901 3.984 7.583
Sr 6.901 3.984 0.062
Al 8.672 5.619 4.724
Al 7.431 1.634 4.724
Al 4.601 4.701 4.724
Al 9.202 3.268 2.921
Al 6.371 6.335 2.921
Al 5.131 2.350 2.921
Ag 4.441 4.683 1.994
Ag 7.526 1.505 1.994
Ag 8.736 5.766 1.994
Ag 5.067 2.203 5.651
Ag 6.276 6.464 5.651
Ag 9.361 3.286 5.651
```

Record 12
Material: SrAlAg
Method: DFT, PBE
State: optimized geometry

Computed properties:
- calculated total energy (eV/atom) = -2.75
- density of states at the Fermi level (states/eV/f.u.) = 2.44
- theoretical density (g/cm3) = 4.2

Geometry as extended XYZ:
```
3
Lattice="4.982 0.000 0.000 2.491 4.314 0.000 2.491 1.438 4.068" Properties=species:S:1:pos:R:3 pbc="T T T"
Sr 4.982 2.876 2.034
Al 0.000 0.000 0.000
Ag 7.473 4.314 3.051
```